Entry 1:
! V4NiIr3, relaxed, DFT GGA-PBE; values from VASP
&SYSTEM
  ibrav = 0, nat = 8, ntyp = 3
/
ATOMIC_SPECIES
V 50.94 V.upf
Ni 58.69 Ni.upf
Ir 192.22 Ir.upf
ATOMIC_POSITIONS angstrom
V 0.0000 0.0000 1.4680
V 2.1155 0.0000 2.9679
V 0.0000 2.1927 2.9327
V 0.0000 0.0000 10.3334
Ni 0.0000 2.1927 0.0000
Ir 2.1155 0.0000 0.0000
Ir 0.0000 0.0000 4.2712
Ir 0.0000 0.0000 7.5301
CELL_PARAMETERS angstrom
-2.1155 2.1927 5.9007
2.1155 -2.1927 5.9007
2.1155 2.1927 -5.9007
! size of the total moment = 0.0 Bohr magnetons per cell
! crystal system = orthorhombic
! E_form = -0.20 eV/atom
! raw total energy = -70.45 eV per cell
! SG = Immm
! D(E_F) = 10.67 states/eV per cell

Entry 2:
! V4Ni2Ir, relaxed, DFT GGA-PBE; values from VASP
&SYSTEM
  ibrav = 0, nat = 7, ntyp = 3
/
ATOMIC_SPECIES
V 50.94 V.upf
Ni 58.69 Ni.upf
Ir 192.22 Ir.upf
ATOMIC_POSITIONS angstrom
V 2.2902 0.0000 0.0000
V 0.0000 0.0000 2.4263
V 0.0000 2.2902 0.0000
V 0.0000 0.0000 9.4194
Ni 0.0000 0.0000 4.7292
Ni 0.0000 0.0000 7.1166
Ir 0.0000 0.0000 0.0000
CELL_PARAMETERS angstrom
-2.2902 2.2902 5.9229
2.2902 -2.2902 5.9229
2.2902 2.2902 -5.9229
! size of the total moment = 3.6 Bohr magnetons per cell
! crystal system = tetragonal
! E_form = 0.86 eV/atom
! raw total energy = -50.85 eV per cell
! SG = I4/mmm
! D(E_F) = 12.51 states/eV per cell